(1)
A plane-wave DFT calculation with meta-GGA SCAN was carried out for a crystal of GaAs2IBr relaxed with PBEsol.

Its crystal system is tetragonal.

abc: 5.350 5.350 5.750
angles: 90.00 90.00 90.00
Space group P4/mmm (No. 123)
Asymmetric unit:
1 Ga 0.000 0.000 0.000 [1 per cell]
2 As 0.000 0.500 0.500 [2 per cell]
3 I 0.500 0.500 0.500 [1 per cell]
4 Br 0.500 0.500 0.000 [1 per cell]

---

(2)
A plane-wave DFT calculation with meta-GGA SCAN was carried out for a crystal of GaMoAs2Br relaxed with PBEsol.

Its crystal system is tetragonal.

abc: 4.795 4.795 4.977
angles: 90.00 90.00 90.00
Space group P4/mmm (No. 123)
Asymmetric unit:
1 Ga 0.000 0.000 0.000 [1 per cell]
2 Mo 0.500 0.500 0.500 [1 per cell]
3 As 0.000 0.500 0.000 [2 per cell]
4 Br 0.000 0.000 0.500 [1 per cell]

---

(3)
A plane-wave DFT calculation with meta-GGA SCAN was carried out for a crystal of GaNiAsBr2 relaxed with PBEsol.

Its crystal system is tetragonal.

abc: 5.064 5.064 4.425
angles: 90.00 90.00 90.00
Space group P4/mmm (No. 123)
Asymmetric unit:
1 Ga 0.000 0.000 0.000 [1 per cell]
2 Ni 0.500 0.500 0.500 [1 per cell]
3 As 0.500 0.500 0.000 [1 per cell]
4 Br 0.000 0.500 0.500 [2 per cell]

---

(4)
A plane-wave DFT calculation with meta-GGA SCAN was carried out for a crystal of GaAsBr2O relaxed with PBEsol.

Its crystal system is tetragonal.

abc: 5.013 5.013 5.075
angles: 90.00 90.00 90.00
Space group P4/mmm (No. 123)
Asymmetric unit:
1 Ga 0.000 0.000 0.000 [1 per cell]
2 As 0.000 0.000 0.500 [1 per cell]
3 Br 0.000 0.500 0.000 [2 per cell]
4 O 0.500 0.500 0.500 [1 per cell]

---

(5)
A plane-wave DFT calculation with meta-GGA SCAN was carried out for a crystal of GaAsPdBr2 relaxed with PBEsol.

Its energy above the most stable polymorph in this dataset is 408 meV/atom. Its crystal system is tetragonal.

abc: 4.979 4.979 4.913
angles: 90.00 90.00 90.00
Space group P4/mmm (No. 123)
Asymmetric unit:
1 Ga 0.000 0.000 0.000 [1 per cell]
2 As 0.000 0.000 0.500 [1 per cell]
3 Pd 0.500 0.500 0.500 [1 per cell]
4 Br 0.000 0.500 0.000 [2 per cell]

---

(6)
A plane-wave DFT calculation with meta-GGA SCAN was carried out for a crystal of GaAsPdBr2 relaxed with PBEsol.

Its energy above the most stable polymorph in this dataset is 0 meV/atom. Its crystal system is tetragonal.

abc: 5.262 5.262 4.660
angles: 90.00 90.00 90.00
Space group P4/mmm (No. 123)
Asymmetric unit:
1 Ga 0.000 0.000 0.000 [1 per cell]
2 As 0.500 0.500 0.000 [1 per cell]
3 Pd 0.500 0.500 0.500 [1 per cell]
4 Br 0.000 0.500 0.500 [2 per cell]

---

(7)
A plane-wave DFT calculation with meta-GGA SCAN was carried out for a crystal of GaAsPtBr2 relaxed with PBEsol.

Its energy above the most stable polymorph in this dataset is 0 meV/atom. Its crystal system is tetragonal.

abc: 5.394 5.394 4.603
angles: 90.00 90.00 90.00
Space group P4/mmm (No. 123)
Asymmetric unit:
1 Ga 0.000 0.000 0.000 [1 per cell]
2 As 0.500 0.500 0.500 [1 per cell]
3 Pt 0.500 0.500 0.000 [1 per cell]
4 Br 0.000 0.500 0.500 [2 per cell]

---

(8)
A plane-wave DFT calculation with meta-GGA SCAN was carried out for a crystal of GaAsPtBr2 relaxed with PBEsol.

Its energy above the most stable polymorph in this dataset is 45 meV/atom. Its crystal system is tetragonal.

abc: 5.315 5.315 4.649
angles: 90.00 90.00 90.00
Space group P4/mmm (No. 123)
Asymmetric unit:
1 Ga 0.000 0.000 0.000 [1 per cell]
2 As 0.500 0.500 0.000 [1 per cell]
3 Pt 0.500 0.500 0.500 [1 per cell]
4 Br 0.000 0.500 0.500 [2 per cell]

---

Number 1: density 4.30 g/cm3, energy -108.1 eV for the cell shown. Number 2: density 5.74 g/cm3, energy -106.2 eV for the cell shown. Number 3: density 5.31 g/cm3, energy -91.0 eV for the cell shown. Number 4: density 4.17 g/cm3, energy -78.7 eV for the cell shown. Number 5: density 5.60 g/cm3, energy -105.7 eV for the cell shown. Number 6: density 5.29 g/cm3, energy -107.8 eV for the cell shown. Number 7: density 6.19 g/cm3, energy -145.2 eV for the cell shown. Number 8: density 6.32 g/cm3, energy -145.0 eV for the cell shown.